Record 1
VASP calculation (PBE-GGA) on crystalline CsCdBr2 at its relaxed geometry.

```
data_CsCdBr2
_chemical_formula_sum 'Cs4 Cd4 Br8'
_cell_length_a 7.076
_cell_length_b 7.076
_cell_length_c 16.304
_cell_angle_alpha 90.00
_cell_angle_beta 90.00
_cell_angle_gamma 90.00
_symmetry_space_group_name_H-M 'I -4 2 d'
_symmetry_Int_Tables_number 122
_symmetry_space_group_name_Hall 'I -4 2bw'
loop_
_atom_site_label
_atom_site_fract_x
_atom_site_fract_y
_atom_site_fract_z
_atom_site_occupancy
Cs1 0.000 0.000 0.000 1
Cd1 0.000 0.000 0.500 1
Br1 0.160 0.250 0.625 1
```

Computed properties:
Raw total energy, Ry/atom: -0.1678
V, Å³/atom: 51.02
Crystal system: tetragonal
Relative energy among the computed polymorphs, eV/atom: 0.000

---

Record 2
VASP calculation (PBE-GGA) on crystalline Li3SnBi at its relaxed geometry.

```
data_Li3SnBi
_chemical_formula_sum 'Li3 Sn1 Bi1'
_cell_length_a 5.170
_cell_length_b 5.170
_cell_length_c 5.170
_cell_angle_alpha 90.00
_cell_angle_beta 90.00
_cell_angle_gamma 90.00
_symmetry_space_group_name_H-M 'P m -3 m'
_symmetry_Int_Tables_number 221
_symmetry_space_group_name_Hall '-P 4 2 3'
loop_
_atom_site_label
_atom_site_fract_x
_atom_site_fract_y
_atom_site_fract_z
_atom_site_occupancy
Li1 0.000 0.000 0.500 1
Sn1 0.500 0.500 0.500 1
Bi1 0.000 0.000 0.000 1
```

Computed properties:
Raw total energy, Ry/atom: -0.1985
V, Å³/atom: 27.64
Crystal system: cubic
Relative energy among the computed polymorphs, eV/atom: 0.302
ΔH_f (0 K), eV per atom: 0.02

---

Record 3
VASP calculation (PBE-GGA) on crystalline Pm7Sm3Ho2 at its relaxed geometry.

```
data_Pm7Sm3Ho2
_chemical_formula_sum 'Pm21 Sm9 Ho6'
_cell_length_a 6.6082
_cell_length_b 6.6082
_cell_length_c 33.9087
_cell_angle_alpha 90.00
_cell_angle_beta 90.00
_cell_angle_gamma 120.00
_symmetry_space_group_name_H-M 'R -3 m'
_symmetry_Int_Tables_number 166
_symmetry_space_group_name_Hall '-R 3 2"'
loop_
_atom_site_label
_atom_site_fract_x
_atom_site_fract_y
_atom_site_fract_z
_atom_site_occupancy
Pm1 0.0000 0.0000 0.0000 1
Pm2 0.0051 0.5026 0.4160 1
Sm1 0.0000 0.0000 0.3474 1
Sm2 0.0000 0.0000 0.5000 1
Ho1 0.0000 0.0000 0.1660 1
```

Computed properties:
Raw total energy, Ry/atom: -0.3254
V, Å³/atom: 35.62
Crystal system: trigonal
Relative energy among the computed polymorphs, eV/atom: 0.198
ΔH_f (0 K), eV per atom: 0.29

---

Record 4
VASP calculation (PBE-GGA) on crystalline Mg2AlGe at its relaxed geometry.

```
data_Mg2AlGe
_chemical_formula_sum 'Mg6 Al3 Ge3'
_cell_length_a 3.1740
_cell_length_b 3.1740
_cell_length_c 27.1682
_cell_angle_alpha 90.00
_cell_angle_beta 90.00
_cell_angle_gamma 120.00
_symmetry_space_group_name_H-M 'R -3 m'
_symmetry_Int_Tables_number 166
_symmetry_space_group_name_Hall '-R 3 2"'
loop_
_atom_site_label
_atom_site_fract_x
_atom_site_fract_y
_atom_site_fract_z
_atom_site_occupancy
Mg1 0.0000 0.0000 0.2467 1
Al1 0.0000 0.0000 0.0000 1
Ge1 0.0000 0.0000 0.5000 1
```

Computed properties:
Raw total energy, Ry/atom: -0.2128
V, Å³/atom: 19.75
Crystal system: trigonal
ΔH_f (0 K), eV per atom: -0.01

---

Record 5
VASP calculation (PBE-GGA) on crystalline La2PrSn at its relaxed geometry.

```
data_La2PrSn
_chemical_formula_sum 'La4 Pr2 Sn2'
_cell_length_a 3.701
_cell_length_b 6.684
_cell_length_c 11.507
_cell_angle_alpha 80.95
_cell_angle_beta 89.93
_cell_angle_gamma 73.99
_symmetry_space_group_name_H-M 'P -1'
_symmetry_Int_Tables_number 2
loop_
_symmetry_equiv_pos_as_xyz
'x,y,z'
'-x,-y,-z'
loop_
_atom_site_label
_atom_site_fract_x
_atom_site_fract_y
_atom_site_fract_z
_atom_site_occupancy
La1 0.113 0.279 0.412 1
La2 0.296 0.910 0.860 1
Pr1 0.044 0.412 0.870 1
Sn1 0.365 0.766 0.343 1
```

Computed properties:
Raw total energy, Ry/atom: -0.3682
V, Å³/atom: 33.74
Crystal system: triclinic
Relative energy among the computed polymorphs, eV/atom: 0.131
ΔH_f (0 K), eV per atom: -0.35

---

Record 6
VASP calculation (PBE-GGA) on crystalline MnReTe2 at its relaxed geometry.

```
data_MnReTe2
_chemical_formula_sum 'Mn2 Re2 Te4'
_cell_length_a 3.244
_cell_length_b 4.334
_cell_length_c 12.155
_cell_angle_alpha 90.00
_cell_angle_beta 90.00
_cell_angle_gamma 90.00
_symmetry_space_group_name_H-M 'I m m 2'
_symmetry_Int_Tables_number 44
loop_
_symmetry_equiv_pos_as_xyz
'x,y,z'
'-x,-y,z'
'-x,y,z'
'x,-y,z'
'x+1/2,y+1/2,z+1/2'
'-x+1/2,-y+1/2,z+1/2'
'-x+1/2,y+1/2,z+1/2'
'x+1/2,-y+1/2,z+1/2'
loop_
_atom_site_label
_atom_site_fract_x
_atom_site_fract_y
_atom_site_fract_z
_atom_site_occupancy
Mn1 0.000 0.000 0.000 1
Re1 0.000 0.500 0.698 1
Te1 0.000 0.000 0.381 1
Te2 0.000 0.500 0.150 1
```

Computed properties:
Raw total energy, Ry/atom: -0.4756
V, Å³/atom: 21.36
Crystal system: orthorhombic
Relative energy among the computed polymorphs, eV/atom: 0.420

---

Record 7
VASP calculation (PBE-GGA) on crystalline Zn2CrIN at its relaxed geometry.

```
data_Zn2CrIN
_chemical_formula_sum 'Zn2 Cr1 I1 N1'
_cell_length_a 5.559
_cell_length_b 5.559
_cell_length_c 4.018
_cell_angle_alpha 90.00
_cell_angle_beta 90.00
_cell_angle_gamma 90.00
_symmetry_space_group_name_H-M 'P 4/m m m'
_symmetry_Int_Tables_number 123
_symmetry_space_group_name_Hall '-P 4 2'
loop_
_atom_site_label
_atom_site_fract_x
_atom_site_fract_y
_atom_site_fract_z
_atom_site_occupancy
Zn1 0.000 0.500 0.000 1
Cr1 0.000 0.000 0.500 1
I1 0.500 0.500 0.000 1
N1 0.500 0.500 0.500 1
```

Computed properties:
Raw total energy, Ry/atom: -0.2045
V, Å³/atom: 24.83
Crystal system: tetragonal

---

Record 8
VASP calculation (PBE-GGA) on crystalline Zr3Co2Ru at its relaxed geometry.

```
data_Zr3Co2Ru
_chemical_formula_sum 'Zr6 Co4 Ru2'
_cell_length_a 4.581
_cell_length_b 13.696
_cell_length_c 3.219
_cell_angle_alpha 90.00
_cell_angle_beta 90.00
_cell_angle_gamma 90.00
_symmetry_space_group_name_H-M 'C m m m'
_symmetry_Int_Tables_number 65
_symmetry_space_group_name_Hall '-C 2 2'
loop_
_atom_site_label
_atom_site_fract_x
_atom_site_fract_y
_atom_site_fract_z
_atom_site_occupancy
Zr1 0.000 0.000 0.000 1
Zr2 0.000 0.331 0.000 1
Co1 0.000 0.166 0.500 1
Ru1 0.000 0.500 0.500 1
```

Computed properties:
Raw total energy, Ry/atom: -0.6307
V, Å³/atom: 16.83
Crystal system: orthorhombic
Relative energy among the computed polymorphs, eV/atom: 0.002
ΔH_f (0 K), eV per atom: -0.39

---

> What is the V in the fourth record?

19.75 Å³/atom